## KNiGeF6 (GGA+U)

Data for a geometry-optimized KNiGeF6 structure.

raw total energy: -40.3 eV/f.u.
volume: 16.13 Å³/atom
N(E_F): 5.9 states/eV/cell

a b c (Å): 5.4298 5.4298 11.3677
angles (deg): 90.00 90.00 120.00
With the nearest neighbours (Å) after each atom.
Space group P-31c (No. 163)
Unique sites:
K1 0.0000 0.0000 0.0000 (multiplicity 2)  6 F 2.68
Ni1 0.3333 0.6667 0.2500 (multiplicity 2)  6 F 2.04
Ge1 0.3333 0.6667 0.7500 (multiplicity 2)  6 F 2.03
F1 0.0016 0.3773 0.6523 (multiplicity 12)  1 Ge 2.03, 1 Ni 2.04